Entry 1:
Compound: AcSi2Pd2
Source: the Alexandria database
Functional: PBE
Structure: optimized geometry

It has space group Fmmm (No. 69), with a = 6.2322 Å, b = 6.2416 Å, c = 10.0099 Å, α = 90.00°, β = 90.00° and γ = 90.00°. The inequivalent atoms are Ac at (0.0000, 0.0000, 0.0000), Si at (0.0000, 0.0000, 0.3770) and Pd at (0.2500, 0.2500, 0.2500).

For the uncorrected formation energy, the calculation gives -863 meV per atom.


Entry 2:
Compound: Ac2Si5Pd3
Source: the Alexandria database
Functional: PBE
Structure: optimized geometry

It has space group Ibam (No. 72), with a = 10.2311 Å, b = 12.1987 Å, c = 6.1651 Å, α = 90.00°, β = 90.00° and γ = 90.00°. The inequivalent atoms are Ac at (0.2368, 0.1266, 0.0000), Si at (0.0000, 0.0000, 0.2500), Si at (0.0000, 0.2692, 0.2500), Si at (0.1401, 0.3824, 0.0000), Pd at (0.0000, 0.5000, 0.2500) and Pd at (0.1099, 0.1360, 0.5000).

For the uncorrected formation energy, the calculation gives -782 meV per atom.